No. 1
# Tm2HfPaN4 PBE-GGA optimized geometry
data_Tm2HfPaN4
_chemical_formula_sum 'Tm2 Hf1 Pa1 N4'
_cell_length_a 5.843
_cell_length_b 3.372
_cell_length_c 5.853
_cell_angle_alpha 90.00
_cell_angle_beta 109.06
_cell_angle_gamma 90.00
_space_group_name_H-M_alt 'P 1 2/m 1'
_space_group_IT_number 10
loop_
_space_group_symop_operation_xyz
'x,y,z'
'-x,-y,-z'
'-x,y,-z'
'x,-y,z'
loop_
_atom_site_label
_atom_site_type_symbol
_atom_site_fract_x
_atom_site_fract_y
_atom_site_fract_z
Tm1 Tm 0.000 0.000 0.000
Tm2 Tm 0.000 0.500 0.500
Hf1 Hf 0.500 0.000 0.500
Pa1 Pa 0.500 0.500 0.000
N1 N 0.257 0.000 0.741
N2 N 0.267 0.500 0.261
# - total DFT energy (no corrections) (eV per atom) = -9.454
# - energy relative to the elements, uncorrected (kJ per mole of atoms) = -168

No. 2
# TmHfPa2N5 PBE-GGA optimized geometry
data_TmHfPa2N5
_chemical_formula_sum 'Tm4 Hf4 Pa8 N20'
_cell_length_a 3.493
_cell_length_b 13.399
_cell_length_c 10.925
_cell_angle_alpha 90.00
_cell_angle_beta 90.00
_cell_angle_gamma 90.00
_space_group_name_H-M_alt 'C m c 21'
_space_group_IT_number 36
loop_
_space_group_symop_operation_xyz
'x,y,z'
'-x,-y,z+1/2'
'-x,y,z'
'x,-y,z+1/2'
'x+1/2,y+1/2,z'
'-x+1/2,-y+1/2,z+1/2'
'-x+1/2,y+1/2,z'
'x+1/2,-y+1/2,z+1/2'
loop_
_atom_site_label
_atom_site_type_symbol
_atom_site_fract_x
_atom_site_fract_y
_atom_site_fract_z
Tm1 Tm 0.000 0.232 0.000
Hf1 Hf 0.000 0.476 0.482
Pa1 Pa 0.000 0.111 0.713
Pa2 Pa 0.000 0.145 0.264
N1 N 0.000 0.064 0.076
N2 N 0.000 0.273 0.661
N3 N 0.000 0.317 0.365
N4 N 0.000 0.388 0.075
N5 N 0.000 0.470 0.798
# - total DFT energy (no corrections) (eV per atom) = -9.894
# - energy relative to the elements, uncorrected (kJ per mole of atoms) = -150

No. 3
# HfUPa2N4 PBE-GGA optimized geometry
data_HfUPa2N4
_chemical_formula_sum 'Hf1 U1 Pa2 N4'
_cell_length_a 5.891
_cell_length_b 3.386
_cell_length_c 5.936
_cell_angle_alpha 90.00
_cell_angle_beta 108.72
_cell_angle_gamma 90.00
_space_group_name_H-M_alt 'P 1 2/m 1'
_space_group_IT_number 10
loop_
_space_group_symop_operation_xyz
'x,y,z'
'-x,-y,-z'
'-x,y,-z'
'x,-y,z'
loop_
_atom_site_label
_atom_site_type_symbol
_atom_site_fract_x
_atom_site_fract_y
_atom_site_fract_z
Hf1 Hf 0.000 0.000 0.000
U1 U 0.500 0.500 0.000
Pa1 Pa 0.000 0.500 0.500
Pa2 Pa 0.500 0.000 0.500
N1 N 0.232 0.500 0.226
N2 N 0.242 0.000 0.767
# - total DFT energy (no corrections) (eV per atom) = -10.777
# - energy relative to the elements, uncorrected (kJ per mole of atoms) = -153

No. 4
# Hf3UPa2N6 PBE-GGA optimized geometry
data_Hf3UPa2N6
_chemical_formula_sum 'Hf6 U2 Pa4 N12'
_cell_length_a 14.799
_cell_length_b 3.267
_cell_length_c 6.823
_cell_angle_alpha 90.00
_cell_angle_beta 107.11
_cell_angle_gamma 90.00
_space_group_name_H-M_alt 'C 1 2/m 1'
_space_group_IT_number 12
loop_
_space_group_symop_operation_xyz
'x,y,z'
'-x,-y,-z'
'-x,y,-z'
'x,-y,z'
'x+1/2,y+1/2,z'
'-x+1/2,-y+1/2,-z'
'-x+1/2,y+1/2,-z'
'x+1/2,-y+1/2,z'
loop_
_atom_site_label
_atom_site_type_symbol
_atom_site_fract_x
_atom_site_fract_y
_atom_site_fract_z
Hf1 Hf 0.000 0.000 0.000
Hf2 Hf 0.166 0.500 0.334
U1 U 0.000 0.000 0.500
Pa1 Pa 0.166 0.500 0.833
N1 N 0.007 0.500 0.234
N2 N 0.159 0.000 0.102
N3 N 0.173 0.000 0.566
# - total DFT energy (no corrections) (eV per atom) = -10.839
# - energy relative to the elements, uncorrected (kJ per mole of atoms) = -161

No. 5
# HfUPa2N6 PBE-GGA optimized geometry
data_HfUPa2N6
_chemical_formula_sum 'Hf3 U3 Pa6 N18'
_cell_length_a 5.8706
_cell_length_b 5.8706
_cell_length_c 14.5693
_cell_angle_alpha 90.00
_cell_angle_beta 90.00
_cell_angle_gamma 120.00
_space_group_name_H-M_alt 'R 3'
_space_group_IT_number 146
_space_group_name_Hall 'R 3'
loop_
_atom_site_label
_atom_site_type_symbol
_atom_site_fract_x
_atom_site_fract_y
_atom_site_fract_z
Hf1 Hf 0.0000 0.0000 0.0000
U1 U 0.0000 0.0000 0.5014
Pa1 Pa 0.0000 0.0000 0.2783
Pa2 Pa 0.0000 0.0000 0.7790
N1 N 0.0550 0.3631 0.0603
N2 N 0.0553 0.6792 0.5602
# - total DFT energy (no corrections) (eV per atom) = -10.514
# - energy relative to the elements, uncorrected (kJ per mole of atoms) = -144

No. 6
# HfPa2WN6 PBE-GGA optimized geometry
data_HfPa2WN6
_chemical_formula_sum 'Hf1 Pa2 W1 N6'
_cell_length_a 5.382
_cell_length_b 5.382
_cell_length_c 4.998
_cell_angle_alpha 90.00
_cell_angle_beta 90.00
_cell_angle_gamma 90.00
_space_group_name_H-M_alt 'P 4 m m'
_space_group_IT_number 99
loop_
_space_group_symop_operation_xyz
'x,y,z'
'-y,x,z'
'-x,-y,z'
'y,-x,z'
'-x,y,z'
'y,x,z'
'x,-y,z'
'-y,-x,z'
loop_
_atom_site_label
_atom_site_type_symbol
_atom_site_fract_x
_atom_site_fract_y
_atom_site_fract_z
Hf1 Hf 0.000 0.000 0.000
Pa1 Pa 0.000 0.500 0.415
W1 W 0.500 0.500 0.009
N1 N 0.000 0.000 0.596
N2 N 0.256 0.256 0.166
N3 N 0.500 0.500 0.640
# - total DFT energy (no corrections) (eV per atom) = -10.328
# - energy relative to the elements, uncorrected (kJ per mole of atoms) = -110